# 1
## Y2MoSe (PBE)

Data for Y2MoSe after structural relaxation.

**Density of states at the Fermi level**: 3.5 states/eV/cell
**Total energy**: -7.28 eV per atom
**Magnetic moment**: 0.00 μB/atom
**Raw formation energy**: -0.47 eV/atom

Structure (POSCAR):
```
Y2MoSe
1.0
-2.644 -2.797 2.102
-0.490 -2.001 -3.281
3.967 -4.057 -0.408
Mo Se Y
1 1 2
Cartesian
1.521 -3.314 -2.497
1.467 -5.632 -1.074
3.145 -5.668 -3.588
-0.085 -3.328 0.040
```

# 2
## Y4MoSe (PBE)

Data for Y4MoSe after structural relaxation.

**Density of states at the Fermi level**: 8.4 states/eV/cell
**Total energy**: -5.96 eV per atom
**Magnetic moment**: 0.08 μB/atom
**Raw formation energy**: 0.73 eV/atom

Structure (POSCAR):
```
Y4MoSe
1.0
4.114 4.003 2.086
-1.009 2.964 5.244
3.321 -1.333 4.949
Y Mo Se
4 1 1
Cartesian
4.445 4.092 5.656
4.055 1.470 7.063
1.927 3.581 7.208
2.423 2.125 4.631
4.819 4.226 9.209
0.000 0.000 0.000
```

# 3
## Y2MoSe (PBE)

Data for Y2MoSe after structural relaxation.

**Density of states at the Fermi level**: 2.9 states/eV/cell
**Total energy**: -6.88 eV per atom
**Magnetic moment**: 0.00 μB/atom
**Raw formation energy**: -0.07 eV/atom

Structure (POSCAR):
```
Y2MoSe
1.0
4.877 -0.010 0.011
3.396 3.501 0.011
1.488 0.628 5.434
Mo Se Y
1 1 2
Cartesian
7.321 3.089 4.091
2.440 1.030 1.364
8.153 3.441 0.071
5.000 2.110 2.678
```

# 4
## Y2MoSe (PBE)

Data for Y2MoSe after structural relaxation.

**Density of states at the Fermi level**: 3.5 states/eV/cell
**Total energy**: -6.92 eV per atom
**Magnetic moment**: 0.18 μB/atom
**Raw formation energy**: -0.11 eV/atom

Structure (POSCAR):
```
Y2MoSe
1.0
-2.779 8.389 0.056
-5.940 6.537 0.312
-3.939 7.179 3.324
Mo Se Y
1 1 2
Cartesian
-6.061 10.584 1.768
-9.641 16.837 2.813
-0.277 0.483 0.081
-3.008 5.254 0.878
```

# 5
## Y2MoSe (PBE)

Data for Y2MoSe after structural relaxation.

**Density of states at the Fermi level**: 7.4 states/eV/cell
**Total energy**: -6.70 eV per atom
**Magnetic moment**: 0.50 μB/atom
**Raw formation energy**: 0.11 eV/atom

Structure (POSCAR):
```
Y2MoSe
1.0
7.760 0.000 0.000
0.000 7.760 0.000
3.880 3.880 3.301
Y Mo Se
4 2 2
Cartesian
5.724 1.940 0.825
2.037 5.820 0.825
5.820 5.917 2.476
9.700 9.604 2.476
0.000 0.000 0.000
7.760 3.880 1.651
3.880 3.880 0.000
3.880 7.760 1.651
```

# 6
## YMoSe3 (PBE)

Data for YMoSe3 after structural relaxation.

**Density of states at the Fermi level**: 5.1 states/eV/cell
**Excess energy over the best structure of this formula in the dataset**: 652 meV per atom
**Total energy**: -5.27 eV per atom
**Magnetic moment**: 0.60 μB/atom
**Raw formation energy**: 0.28 eV/atom

Structure (POSCAR):
```
YMoSe3
1.0
-1.383 5.200 0.538
-2.861 -1.219 4.424
4.375 0.847 3.063
Y Mo Se
1 1 3
Cartesian
0.000 0.000 0.000
0.065 2.414 4.012
-1.431 -0.609 2.212
2.187 0.424 1.531
-0.692 2.600 0.269
```

# 7
## YMoSe3 (PBE)

Data for YMoSe3 after structural relaxation.

**Density of states at the Fermi level**: 4.1 states/eV/cell
**Excess energy over the best structure of this formula in the dataset**: 0 meV per atom
**Total energy**: -5.93 eV per atom
**Magnetic moment**: 0.36 μB/atom
**Raw formation energy**: -0.38 eV/atom

Structure (POSCAR):
```
YMoSe3
1.0
4.964 0.000 0.000
0.000 4.964 0.000
0.000 0.000 4.964
Y Mo Se
1 1 3
Cartesian
2.482 2.482 2.482
0.000 0.000 0.000
0.000 2.482 0.000
0.000 0.000 2.482
2.482 0.000 0.000
```

# 8
## Y2MoSe (PBE)

Data for Y2MoSe after structural relaxation.

**Density of states at the Fermi level**: 2.3 states/eV/cell
**Total energy**: -7.13 eV per atom
**Magnetic moment**: 0.00 μB/atom
**Raw formation energy**: -0.32 eV/atom

Structure (POSCAR):
```
Y2MoSe
1.0
-1.468 3.485 -4.672
0.580 1.020 -5.895
-3.798 -2.109 -2.107
Mo Se Y
1 1 2
Cartesian
-2.393 1.325 -6.676
-1.144 0.395 -2.711
-1.019 4.395 -10.567
-3.362 1.982 -9.626
```

# 9
## Y2MoSe (PBE)

Data for Y2MoSe after structural relaxation.

**Density of states at the Fermi level**: 3.2 states/eV/cell
**Total energy**: -7.00 eV per atom
**Magnetic moment**: 0.44 μB/atom
**Raw formation energy**: -0.19 eV/atom

Structure (POSCAR):
```
Y2MoSe
1.0
-1.146 0.360 3.937
0.586 -4.039 0.540
5.595 1.016 1.535
Mo Se Y
1 1 2
Cartesian
2.233 0.406 0.613
4.407 -0.987 3.525
5.213 0.947 1.430
1.573 -1.502 2.747
```

# 10
## YMoSe2 (PBE)

Data for YMoSe2 after structural relaxation.

**Density of states at the Fermi level**: 5.6 states/eV/cell
**Excess energy over the best structure of this formula in the dataset**: 385 meV per atom
**Total energy**: -6.41 eV per atom
**Magnetic moment**: 0.00 μB/atom
**Raw formation energy**: -0.34 eV/atom

Structure (POSCAR):
```
YMoSe2
1.0
7.528 -4.061 3.643
8.656 -0.862 3.280
6.852 -1.731 6.041
Y Mo Se
1 1 2
Cartesian
0.000 0.000 0.000
11.518 -3.327 6.482
20.623 -5.957 11.606
2.413 -0.697 1.358
```

# 11
## YMoSe2 (PBE)

Data for YMoSe2 after structural relaxation.

**Density of states at the Fermi level**: 2.4 states/eV/cell
**Excess energy over the best structure of this formula in the dataset**: 83 meV per atom
**Total energy**: -6.71 eV per atom
**Magnetic moment**: 0.00 μB/atom
**Raw formation energy**: -0.64 eV/atom

Structure (POSCAR):
```
YMoSe2
1.0
-3.864 3.133 1.186
-4.857 0.985 -1.262
-2.541 -2.679 3.382
Mo Se Y
1 2 1
Cartesian
-2.633 0.729 0.428
-8.734 3.813 0.196
-8.466 1.168 2.409
-5.780 0.565 1.848
```

# 12
## YMoSe2 (PBE)

Data for YMoSe2 after structural relaxation.

**Density of states at the Fermi level**: 1.3 states/eV/cell
**Excess energy over the best structure of this formula in the dataset**: 392 meV per atom
**Total energy**: -6.40 eV per atom
**Magnetic moment**: 1.10 μB/atom
**Raw formation energy**: -0.33 eV/atom

Structure (POSCAR):
```
YMoSe2
1.0
2.373 0.000 8.303
-1.187 2.055 8.303
-1.187 -2.055 8.303
Y Mo Se
1 1 2
Cartesian
0.000 0.000 12.455
0.000 0.000 0.000
0.000 0.000 22.343
0.000 0.000 2.567
```

# 13
## YMoSe2 (PBE)

Data for YMoSe2 after structural relaxation.

**Density of states at the Fermi level**: 2.9 states/eV/cell
**Excess energy over the best structure of this formula in the dataset**: 40 meV per atom
**Total energy**: -6.75 eV per atom
**Magnetic moment**: 0.00 μB/atom
**Raw formation energy**: -0.69 eV/atom

Structure (POSCAR):
```
YMoSe2
1.0
4.832 0.000 0.000
0.000 3.627 0.001
0.000 1.814 4.948
Mo Se Y
1 2 1
Cartesian
2.416 4.761 4.661
0.000 4.761 4.156
2.416 1.134 1.549
0.000 2.947 2.004
```

# 14
## YMoSe2 (PBE)

Data for YMoSe2 after structural relaxation.

**Density of states at the Fermi level**: 2.8 states/eV/cell
**Excess energy over the best structure of this formula in the dataset**: 91 meV per atom
**Total energy**: -6.70 eV per atom
**Magnetic moment**: 0.25 μB/atom
**Raw formation energy**: -0.64 eV/atom

Structure (POSCAR):
```
YMoSe2
1.0
0.000 3.370 3.370
3.370 0.000 3.370
3.370 3.370 0.000
Y Mo Se
1 1 2
Cartesian
0.000 0.000 0.000
3.370 3.370 3.370
1.685 1.685 1.685
5.054 5.054 5.054
```

# 15
## YMoSe2 (PBE)

Data for YMoSe2 after structural relaxation.

**Density of states at the Fermi level**: 2.4 states/eV/cell
**Excess energy over the best structure of this formula in the dataset**: 106 meV per atom
**Total energy**: -6.69 eV per atom
**Magnetic moment**: 0.29 μB/atom
**Raw formation energy**: -0.62 eV/atom

Structure (POSCAR):
```
YMoSe2
1.0
-1.262 2.948 -1.060
-1.728 -2.136 -3.881
-4.058 -0.907 2.307
Mo Se Y
1 2 1
Cartesian
-2.660 1.020 0.623
0.000 0.000 0.000
-2.893 -1.522 -0.787
-1.495 0.406 -2.471
```